Computed, not measured: a relaxed structure of Zr2VHW at the PBE level of DFT.

Lattice parameters (Å, degrees): 4.6823 4.6823 3.5064 90.00 90.00 90.00
Sites, in units of the cell vectors:
Zr: 0.0000 0.5000 0.0000
Zr: 0.5000 0.0000 0.0000
V: 0.0000 0.0000 0.5000
H: 0.0000 0.0000 0.0000
W: 0.5000 0.5000 0.5000

## Properties
DFT total energy ... -42.3 eV/f.u.